# LiMgN2O, optimized geometry, DFT PBE
data_LiMgN2O
_symmetry_space_group_name_H-M 'P 1'
_symmetry_Int_Tables_number 1
_symmetry_space_group_name_Hall 'P 1'
_cell_length_a 3.4796
_cell_length_b 3.4796
_cell_length_c 4.0479
_cell_angle_alpha 90.00
_cell_angle_beta 90.00
_cell_angle_gamma 90.00
loop_
_atom_site_label
_atom_site_type_symbol
_atom_site_fract_x
_atom_site_fract_y
_atom_site_fract_z
_atom_site_occupancy
Mg1 Mg 0.5000 0.5000 0.5000 1
N1 N 0.5000 0.0000 0.0000 1
N2 N 0.0000 0.5000 0.0000 1
Li1 Li 0.0000 0.0000 0.0000 1
O1 O 0.0000 0.0000 0.5000 1
# final energy	-21.07	eV per cell
# SG	P4/mmm, No. 123
# magnetization	2.2	μB per formula unit